No. 1
The following is a PBE calculation of a relaxed LaCrPt3 crystal, from Alexandria via LeMat-Bulk.

Results
Energy relative to the elements   -0.2195 eV/atom
E above lowest polymorph   0 meV/atom
Volume   104.8 Å³ per cell

a = 4.715 Å, b = 4.715 Å, c = 4.715 Å
α = 90.00°, β = 90.00°, γ = 90.00°
Positions (direct):
La: 0.000 0.000 0.000
Cr: 0.500 0.500 0.500
Pt: 0.000 0.500 0.500
Pt: 0.500 0.000 0.500
Pt: 0.500 0.500 0.000

No. 2
The following is a PBE calculation of a relaxed La4PmEr3Te8 crystal, from Alexandria via LeMat-Bulk.

Results
Raw formation energy   -1.43 eV/atom
Volume   505.0 Å³ per cell

a = 8.993 Å, b = 8.993 Å, c = 8.993 Å
α = 59.21°, β = 59.21°, γ = 59.21°
Positions (direct):
La: 0.000 0.000 0.000
La: 0.000 0.500 0.500
La: 0.500 0.000 0.500
La: 0.500 0.500 0.000
Pm: 0.500 0.500 0.500
Er: 0.000 0.000 0.500
Er: 0.000 0.500 0.000
Er: 0.500 0.000 0.000
Te: 0.239 0.748 0.748
Te: 0.243 0.243 0.243
Te: 0.252 0.252 0.761
Te: 0.252 0.761 0.252
Te: 0.748 0.239 0.748
Te: 0.748 0.748 0.239
Te: 0.757 0.757 0.757
Te: 0.761 0.252 0.252

No. 3
The following is a PBE calculation of a relaxed BaSnAsS6 crystal, from Alexandria via LeMat-Bulk.

Results
Raw formation energy   -0.37 eV/atom
Volume   248.1 Å³ per cell

a = 6.381 Å, b = 6.381 Å, c = 7.034 Å
α = 90.00°, β = 90.00°, γ = 120.00°
Positions (direct):
Ba: 0.000 0.000 0.000
Sn: 0.333 0.667 0.500
As: 0.667 0.333 0.500
S: 0.392 0.021 0.708
S: 0.392 0.371 0.292
S: 0.629 0.021 0.292
S: 0.629 0.608 0.708
S: 0.979 0.371 0.708
S: 0.979 0.608 0.292

No. 4
The following is a PBE calculation of a relaxed Cu2IrPb crystal, from Alexandria via LeMat-Bulk.

Results
Energy relative to the elements   0.5036 eV/atom
Volume   68.3 Å³ per cell

a = 8.824 Å, b = 8.824 Å, c = 8.824 Å
α = 19.70°, β = 19.70°, γ = 19.70°
Positions (direct):
Cu: 0.241 0.241 0.241
Cu: 0.759 0.759 0.759
Ir: 0.500 0.500 0.500
Pb: 0.000 0.000 0.000

No. 5
The following is a PBE calculation of a relaxed Pa2Be16Cu crystal, from Alexandria via LeMat-Bulk.

Results
Energy relative to the elements   -0.0906 eV/atom
Volume   200.0 Å³ per cell

a = 5.893 Å, b = 5.893 Å, c = 5.893 Å
α = 82.66°, β = 82.66°, γ = 82.66°
Positions (direct):
Pa: 0.000 0.000 0.000
Pa: 0.314 0.314 0.314
Be: 0.155 0.659 0.659
Be: 0.319 0.319 0.815
Be: 0.319 0.815 0.319
Be: 0.379 0.657 0.935
Be: 0.379 0.935 0.657
Be: 0.502 0.995 0.995
Be: 0.657 0.379 0.935
Be: 0.657 0.935 0.379
Be: 0.659 0.155 0.659
Be: 0.659 0.659 0.155
Be: 0.758 0.758 0.758
Be: 0.815 0.319 0.319
Be: 0.935 0.379 0.657
Be: 0.935 0.657 0.379
Be: 0.995 0.502 0.995
Be: 0.995 0.995 0.502
Cu: 0.561 0.561 0.561

No. 6
The following is a PBE calculation of a relaxed TlTe2Pt2 crystal, from Alexandria via LeMat-Bulk.

Results
Raw formation energy   -0.13 eV/atom
Volume   127.3 Å³ per cell

a = 8.289 Å, b = 8.289 Å, c = 8.289 Å
α = 151.76°, β = 151.76°, γ = 40.37°
Positions (direct):
Tl: 0.000 0.000 0.000
Te: 0.368 0.368 0.000
Te: 0.632 0.632 0.000
Pt: 0.250 0.750 0.500
Pt: 0.750 0.250 0.500

In μB/cell, the total magnetization values for the records above are, in order, 0.000; 0.000; 0.809; 0.601; 0.000; 0.000.
In states/eV/f.u., the DOS(E_F) values for the records above are, in order, 3.2; 12.1; 10.3; 3.8; 5.5; 4.4.